# 1
# RbNbTe2AuS

A relaxed structure of RbNbTe2AuS (PBE, OQMD).

abc: 3.986 16.649 10.229
angles: 90.00 90.00 90.00
Space group Cmcm (No. 63)
One atom of each set of equivalent atoms:
1 Rb 0.000 0.248 0.250
2 Nb 0.000 0.500 0.000
3 Te 0.000 0.124 0.529
4 Au 0.000 0.036 0.750
5 S 0.000 0.445 0.750


# 2
# SmAgB

A relaxed structure of SmAgB (PBE, OQMD).

Summary:
Offset from the most stable computed form, meV per atom: 0

abc: 6.155 6.155 6.155
angles: 90.00 90.00 90.00
Space group F-43m (No. 216)
One atom of each set of equivalent atoms:
1 Sm 0.000 0.000 0.000
2 Ag 0.000 0.000 0.500
3 B 0.250 0.250 0.750


# 3
# SrPrCuTe3

A relaxed structure of SrPrCuTe3 (PBE, OQMD).

abc: 20.416 4.465 8.821
angles: 90.00 103.06 90.00
Space group C2/m (No. 12)
One atom of each set of equivalent atoms:
1 Sr 0.119 0.000 0.067
2 Pr 0.161 0.000 0.586
3 Cu 0.045 0.500 0.709
4 Te 0.000 0.000 0.500
5 Te 0.000 0.500 0.000
6 Te 0.174 0.500 0.843
7 Te 0.176 0.500 0.343


# 4
# HoTmMg6

A relaxed structure of HoTmMg6 (PBE, OQMD).

abc: 5.157 7.258 5.158
angles: 90.00 90.00 90.00
Space group Pmm2 (No. 25)
One atom of each set of equivalent atoms:
1 Ho 0.000 0.000 0.000
2 Tm 0.500 0.500 0.490
3 Mg 0.000 0.250 0.500
4 Mg 0.000 0.500 0.999
5 Mg 0.500 0.000 0.491
6 Mg 0.500 0.250 0.990


no.,uncorrected energy (eV/atom)
1,-4.5552
2,-4.5511
3,-4.3876
4,-2.3443